1.
Below is Sc2CrSi after structural relaxation, with properties calculated at the PBE-GGA level.

a b c (Å): 8.8849 8.8849 8.8849
angles (deg): 20.36 20.36 20.36
Last column: nearest neighbours and their distance in Å.
Fractional positions:
Sc 0.2498 0.2498 0.2498  3 Si 2.83, 3 Cr 2.83, 6 Sc 3.14
Sc 0.7502 0.7502 0.7502  3 Si 2.83, 3 Cr 2.83, 6 Sc 3.14
Cr 0.0000 0.0000 0.0000  6 Sc 2.83, 6 Cr 3.14
Si 0.5000 0.5000 0.5000  6 Sc 2.83, 6 Si 3.14

Values from the calculation:
* symmetry: No. 166
* energy relative to the elements, uncorrected: 0.089 eV per atom

2.
Below is TeAsSeBr2 after structural relaxation, with properties calculated at the PBE-GGA level.

a b c (Å): 5.5073 5.5073 5.6290
angles (deg): 90.00 90.00 90.00
Last column: nearest neighbours and their distance in Å.
Fractional positions:
Te 0.0000 0.0000 0.0000  4 Br 2.75, 2 Se 2.81
As 0.5000 0.5000 0.5000  4 Se 3.89, 8 Br 3.94
Se 0.0000 0.0000 0.5000  2 Te 2.81
Br 0.0000 0.5000 0.0000  2 Te 2.75
Br 0.5000 0.0000 0.0000  2 Te 2.75

Values from the calculation:
* symmetry: No. 123
* excess energy over the best structure of this formula in the dataset: 232 meV per atom
* energy relative to the elements, uncorrected: 0.531 eV per atom

3.
Below is LaThCuSi after structural relaxation, with properties calculated at the PBE-GGA level.

a b c (Å): 5.1381 5.1381 5.1381
angles (deg): 60.00 60.00 60.00
Last column: nearest neighbours and their distance in Å.
Fractional positions:
La 0.0000 0.0000 0.0000  4 Cu 3.15, 4 Si 3.15
Th 0.5000 0.5000 0.5000  4 Cu 3.15, 4 Si 3.15
Cu 0.2500 0.2500 0.2500  4 La 3.15, 4 Th 3.15
Si 0.7500 0.7500 0.7500  4 La 3.15, 4 Th 3.15

Values from the calculation:
* symmetry: No. 216
* energy relative to the elements, uncorrected: -0.295 eV per atom

4.
Below is La2Zn4GaGe3 after structural relaxation, with properties calculated at the PBE-GGA level.

a b c (Å): 4.3847 4.3847 10.4408
angles (deg): 90.00 90.00 90.00
Last column: nearest neighbours and their distance in Å.
Fractional positions:
La 0.0000 0.5000 0.2464  8 Zn 3.34-3.44, 6 Ge 3.34-3.38, 2 Ga 3.38
La 0.5000 0.0000 0.7536  8 Zn 3.34-3.44, 6 Ge 3.34-3.38, 2 Ga 3.38
Zn 0.0000 0.0000 0.5000  4 Ge 2.61
Zn 0.0000 0.5000 0.8716  3 Ge 2.47-2.57, 2 Ga 2.57
Zn 0.5000 0.0000 0.1284  3 Ge 2.47-2.57, 2 Ga 2.57
Zn 0.5000 0.5000 0.5000  4 Ge 2.61
Ga 0.5000 0.5000 0.0000  4 Zn 2.57
Ge 0.0000 0.0000 0.0000  4 Zn 2.57
Ge 0.0000 0.5000 0.6352  5 Zn 2.47-2.61
Ge 0.5000 0.0000 0.3648  5 Zn 2.47-2.61

Values from the calculation:
* symmetry: No. 115
* energy of formation: -468 kJ/mol of formula units

5.
Below is La2Al2Cr after structural relaxation, with properties calculated at the PBE-GGA level.

a b c (Å): 7.7390 7.7390 7.7390
angles (deg): 149.40 149.40 43.83
Last column: nearest neighbours and their distance in Å.
Fractional positions:
La 0.2500 0.7500 0.5000  4 La 2.89, 4 Al 3.14
La 0.7500 0.2500 0.5000  4 La 2.89, 4 Al 3.14
Al 0.0834 0.0834 0.0000  1 Al 2.40
Al 0.9166 0.9166 0.0000  1 Al 2.40
Cr 0.5000 0.5000 0.0000  8 Al 3.13

Values from the calculation:
* symmetry: No. 139
* energy of formation: 394 kJ/mol of formula units
* excess energy over the best structure of this formula in the dataset: 624 meV per atom

6.
Below is RuRh after structural relaxation, with properties calculated at the PBE-GGA level.

a b c (Å): 6.7570 6.7570 6.7570
angles (deg): 90.00 90.00 90.00
Last column: nearest neighbours and their distance in Å.
Fractional positions:
Ru 0.0000 0.2500 0.5000  4 Rh 2.39
Ru 0.0000 0.7500 0.5000  4 Rh 2.39
Ru 0.2500 0.5000 0.0000  4 Rh 2.39
Ru 0.5000 0.0000 0.2500  4 Rh 2.39
Ru 0.5000 0.0000 0.7500  4 Rh 2.39
Ru 0.7500 0.5000 0.0000  4 Rh 2.39
Rh 0.0000 0.5000 0.2500  4 Ru 2.39
Rh 0.0000 0.5000 0.7500  4 Ru 2.39
Rh 0.2500 0.0000 0.5000  4 Ru 2.39
Rh 0.5000 0.2500 0.0000  4 Ru 2.39
Rh 0.5000 0.7500 0.0000  4 Ru 2.39
Rh 0.7500 0.0000 0.5000  4 Ru 2.39

Values from the calculation:
* symmetry: No. 223
* energy of formation: 284 kJ/mol of formula units

7.
Below is Zr2Be2Tc after structural relaxation, with properties calculated at the PBE-GGA level.

a b c (Å): 6.5347 6.5347 3.5691
angles (deg): 90.00 90.00 90.00
Last column: nearest neighbours and their distance in Å.
Fractional positions:
Zr 0.1832 0.3168 0.0000  6 Be 2.58-2.68
Zr 0.3168 0.8168 0.0000  6 Be 2.58-2.68
Zr 0.6832 0.1832 0.0000  6 Be 2.58-2.68
Zr 0.8168 0.6832 0.0000  6 Be 2.58-2.68
Be 0.1154 0.6154 0.5000  1 Be 2.13
Be 0.3846 0.1154 0.5000  1 Be 2.13
Be 0.6154 0.8846 0.5000  1 Be 2.13
Be 0.8846 0.3846 0.5000  1 Be 2.13
Tc 0.0000 0.0000 0.5000  4 Be 2.62
Tc 0.5000 0.5000 0.5000  4 Be 2.62

Values from the calculation:
* symmetry: No. 127
* energy of formation: -100 kJ/mol of formula units

8.
Below is MnAlSi after structural relaxation, with properties calculated at the PBE-GGA level.

a b c (Å): 4.0299 4.0299 4.0299
angles (deg): 60.00 60.00 60.00
Last column: nearest neighbours and their distance in Å.
Fractional positions:
Mn 0.0000 0.0000 0.0000  4 Al 2.47, 4 Si 2.47
Al 0.7500 0.7500 0.7500  4 Mn 2.47
Si 0.2500 0.2500 0.2500  4 Mn 2.47

Values from the calculation:
* symmetry: No. 216
* energy relative to the elements, uncorrected: -0.012 eV per atom

Sequential E output: -0.5026 -0.1759 -0.4235 -0.2696 -0.3363 -0.5030 -0.5284 -0.4501 Ry/atom